Here is a geometry-optimized PrAlCdAu structure from the Alexandria database. Energies are from GGA-PBE.

Structure (CIF):
```
data_PrAlCdAu
_chemical_formula_sum 'Pr4 Al4 Cd4 Au4'
_space_group_name_H-M_alt 'F -4 3 m'
_space_group_IT_number 216
_space_group_name_Hall 'F -4 2 3'
_cell_length_a 7.121
_cell_length_b 7.121
_cell_length_c 7.121
_cell_angle_alpha 90.00
_cell_angle_beta 90.00
_cell_angle_gamma 90.00
loop_
_atom_site_label
_atom_site_type_symbol
_atom_site_fract_x
_atom_site_fract_y
_atom_site_fract_z
Pr1 Pr 0.000 0.000 0.000
Al1 Al 0.000 0.000 0.500
Cd1 Cd 0.250 0.250 0.750
Au1 Au 0.250 0.250 0.250
```

Computed properties:
Its total energy is -57.69 eV for the cell shown. Its magnetic moment is 0.00 μB/f.u. The density of states at the Fermi level comes out at 0.41 states/eV per atom. Its formation enthalpy at 0 K is -1.71 eV per formula unit.